Material: SmDyHo5Tm2
Method: DFT, PBE
State: relaxed

Summary:
Formation enthalpy at 0 K (kcal/mol of atoms): 3.751
E (eV per atom): -4.410

Lattice parameters (Å, degrees): 5.5613 19.7037 10.4968 90.00 90.00 90.00
Space group Cmc2_1 (No. 36)
Symmetry-distinct sites (fractional):
1 Sm 0.0000 0.0847 0.0000 (multiplicity 4)
2 Dy 0.0000 0.3004 0.5598 (multiplicity 4)
3 Ho 0.0000 0.0217 0.2852 (multiplicity 4)
4 Ho 0.0000 0.1108 0.5713 (multiplicity 4)
5 Ho 0.0000 0.2010 0.2567 (multiplicity 4)
6 Ho 0.0000 0.2186 0.8589 (multiplicity 4)
7 Ho 0.0000 0.4822 0.5726 (multiplicity 4)
8 Tm 0.0000 0.3864 0.8665 (multiplicity 4)
9 Tm 0.0000 0.3898 0.2848 (multiplicity 4)